No. 1
PmPdRh2 | PBE-GGA | optimized geometry

The energy above the most stable polymorph in this dataset comes out at 0.162 eV/atom. The calculation puts the density of states at the Fermi level at 8.24 states/eV/f.u.

It has space group Fm-3m (No. 225), with a = 6.589 Å, b = 6.589 Å, c = 6.589 Å, α = 90.00°, β = 90.00° and γ = 90.00°. The asymmetric unit holds Pm at (0.000, 0.000, 0.000), Pd at (0.000, 0.000, 0.500) and Rh at (0.250, 0.250, 0.250).

***

No. 2
Sr4ZnNi | PBE-GGA | optimized geometry

Its energy is -8.57 eV/f.u. The calculation puts the density of states at the Fermi level at 11.37 states/eV/f.u.

It has space group F-43m (No. 216), with a = 9.969 Å, b = 9.969 Å, c = 9.969 Å, α = 90.00°, β = 90.00° and γ = 90.00°. The asymmetric unit holds Sr at (0.125, 0.125, 0.125), Zn at (0.250, 0.250, 0.750) and Ni at (0.000, 0.000, 0.500).

***

No. 3
PaCu3Pt4 | PBE-GGA | optimized geometry

Its energy is -49.66 eV/f.u. The calculation puts the density of states at the Fermi level at 4.01 states/eV/f.u.

It has space group Pmma (No. 51), with a = 9.044 Å, b = 5.822 Å, c = 4.860 Å, α = 90.00°, β = 90.00° and γ = 90.00°. The asymmetric unit holds Pa at (0.000, 0.000, 0.000), Cu at (0.000, 0.500, 0.000), Cu at (0.250, 0.000, 0.414), Cu at (0.250, 0.500, 0.347), Pt at (0.000, 0.260, 0.500) and Pt at (0.250, 0.270, 0.861).

***

No. 4
Rb2PmHg2Se4 | PBE-GGA | optimized geometry

As for the energy relative to the elements, uncorrected: -0.975 eV/atom. The calculation puts the density of states at the Fermi level at 3.87 states/eV/f.u.

It has space group C2/m (No. 12), with a = 16.797 Å, b = 4.299 Å, c = 8.603 Å, α = 90.00°, β = 112.98° and γ = 90.00°. The asymmetric unit holds Rb at (0.127, 0.000, 0.068), Pm at (0.000, 0.000, 0.500), Hg at (0.189, 0.500, 0.519), Se at (0.023, 0.500, 0.278) and Se at (0.188, 0.000, 0.725).

***

No. 5
EuThCdIn | PBE-GGA | optimized geometry

Its energy is -22.28 eV/f.u. The calculation puts the density of states at the Fermi level at 5.91 states/eV/f.u.

It has space group F-43m (No. 216), with a = 7.777 Å, b = 7.777 Å, c = 7.777 Å, α = 90.00°, β = 90.00° and γ = 90.00°. The asymmetric unit holds Eu at (0.000, 0.000, 0.000), Th at (0.000, 0.000, 0.500), Cd at (0.250, 0.250, 0.250) and In at (0.250, 0.250, 0.750).

***

No. 6
CaLa2Eu | PBE-GGA | optimized geometry

The energy above the most stable polymorph in this dataset comes out at 0.000 eV/atom. The calculation puts the density of states at the Fermi level at 5.80 states/eV/f.u.

It has space group R-3m (No. 166, hexagonal axes), with a = 3.7722 Å, b = 3.7722 Å, c = 37.8121 Å, α = 90.00°, β = 90.00° and γ = 120.00°. The asymmetric unit holds Ca at (0.0000, 0.0000, 0.0000), La at (0.0000, 0.0000, 0.2491) and Eu at (0.0000, 0.0000, 0.5000).

***

No. 7
HfSIN2 | PBE-GGA | optimized geometry

The energy above the most stable polymorph in this dataset comes out at 0.000 eV/atom. As for the energy relative to the elements, uncorrected: 0.461 eV/atom. The calculation puts the density of states at the Fermi level at 4.72 states/eV/f.u.

It has space group P4/mmm (No. 123), with a = 4.125 Å, b = 4.125 Å, c = 5.581 Å, α = 90.00°, β = 90.00° and γ = 90.00°. The asymmetric unit holds Hf at (0.000, 0.000, 0.000), S at (0.000, 0.000, 0.500), I at (0.500, 0.500, 0.500) and N at (0.000, 0.500, 0.000).

***

No. 8
La3Sm2Bi3 | PBE-GGA | optimized geometry

Its energy is -42.24 eV/f.u. The calculation puts the density of states at the Fermi level at 10.89 states/eV/f.u.

It has space group P6_3/mcm (No. 193), with a = 9.5914 Å, b = 9.5914 Å, c = 6.6676 Å, α = 90.00°, β = 90.00° and γ = 120.00°. The asymmetric unit holds La at (0.0000, 0.2488, 0.2500), Sm at (0.3333, 0.6667, 0.0000) and Bi at (0.0000, 0.3908, 0.7500).